Record 1
The following is a DFT calculation (GGA-PBE) of a relaxed structure of La6HoEr2Tm.

```
La6HoEr2Tm
1.0
-9.555 -0.036 1.921
2.079 -5.540 6.804
0.929 8.867 1.352
La Ho Er Tm
12 2 4 2
Direct
0.052 0.110 0.762
0.448 0.238 0.890
0.948 0.890 0.238
0.552 0.762 0.110
0.306 0.998 0.439
0.194 0.561 0.002
0.694 0.002 0.561
0.806 0.439 0.998
0.119 0.705 0.491
0.381 0.509 0.295
0.881 0.295 0.509
0.619 0.491 0.705
0.250 0.974 0.026
0.750 0.026 0.974
0.454 0.802 0.708
0.046 0.292 0.198
0.546 0.198 0.292
0.954 0.708 0.802
0.250 0.413 0.587
0.750 0.587 0.413
```

Results
M_tot ... 0.000 μB/cell
SG ... No. 15
Fermi-level density of states ... 30.86 states/eV per cell
DFT total energy ... -93.267 eV/cell

***

Record 2
The following is a DFT calculation (GGA-PBE) of a relaxed structure of Tb2TmIr3.

```
Tb2TmIr3
1.0
-4.143 -0.436 -2.141
2.437 -2.919 -4.122
0.011 -2.540 5.620
Tb Tm Ir
2 1 3
Direct
0.669 0.169 0.339
0.331 0.831 0.661
0.000 0.500 0.000
0.345 0.345 0.690
0.000 0.000 0.000
0.655 0.655 0.310
```

Results
M_tot ... 0.000 μB/cell
SG ... No. 71
Fermi-level density of states ... 1.75 states/eV per cell
DFT total energy ... -43.093 eV/cell
E above lowest polymorph ... 2.16 eV/f.u.

***

Record 3
The following is a DFT calculation (GGA-PBE) of a relaxed structure of Be5Tl3.

```
Be5Tl3
1.0
3.845 -4.126 0.000
3.845 4.126 0.000
0.000 0.000 4.026
Be Tl
5 3
Direct
0.000 0.000 0.000
0.000 0.500 0.000
0.500 0.000 0.000
0.254 0.254 0.500
0.746 0.746 0.500
0.500 0.500 0.000
0.790 0.210 0.500
0.210 0.790 0.500
```

Results
M_tot ... 0.000 μB/cell
SG ... No. 65
Fermi-level density of states ... 2.45 states/eV per cell
DFT total energy ... -18.881 eV/cell
E above lowest polymorph ... 3.21 eV/f.u.

***

no.,E_form (eV per formula unit)
1,1.1
2,-2.8
3,6.8